1.
The following is a DFT calculation (GGA-PBE) of a geometry-optimized Rb3ClF structure.

```
Rb3ClF
1.0
5.785 0.000 0.000
0.000 5.785 0.000
0.000 0.000 5.785
Rb Cl F
3 1 1
Direct
0.000 0.000 0.500
0.000 0.500 0.000
0.500 0.000 0.000
0.500 0.500 0.500
0.000 0.000 0.000
```

Results
space-group type	No. 221
magnetization	0.00	Bohr magnetons per cell
electronic total energy	-0.1074	hartree per atom
uncorrected formation energy	-1598.7	meV/atom
energy above the lowest structure with this stoichiometry	0	meV/atom
DOS at the Fermi energy	1.3	states/eV/cell



2.
The following is a DFT calculation (GGA-PBE) of a geometry-optimized Rb2Cl2F structure.

```
Rb2Cl2F
1.0
4.194 0.000 0.000
0.000 4.194 0.000
0.000 0.000 16.854
Rb Cl F
4 4 2
Direct
0.000 0.000 0.101
0.000 0.000 0.899
0.500 0.500 0.399
0.500 0.500 0.601
0.000 0.500 0.250
0.000 0.500 0.750
0.500 0.000 0.250
0.500 0.000 0.750
0.000 0.000 0.500
0.500 0.500 0.000
```

Results
space-group type	No. 139
magnetization	0.00	Bohr magnetons per cell
electronic total energy	-0.1111	hartree per atom
uncorrected formation energy	-1523.9	meV/atom
energy above the lowest structure with this stoichiometry	226	meV/atom
DOS at the Fermi energy	6.1	states/eV/cell



3.
The following is a DFT calculation (GGA-PBE) of a geometry-optimized RbCl5F structure.

```
RbCl5F
1.0
8.415 0.000 0.000
0.000 14.437 0.000
-2.949 0.000 4.034
Rb Cl F
2 10 2
Direct
0.000 0.000 0.000
0.500 0.500 0.000
0.000 0.808 0.500
0.153 0.570 0.153
0.160 0.283 0.216
0.340 0.783 0.784
0.347 0.070 0.847
0.500 0.308 0.500
0.653 0.070 0.153
0.660 0.783 0.216
0.840 0.283 0.784
0.847 0.570 0.847
0.000 0.065 0.500
0.500 0.565 0.500
```

Results
space-group type	No. 5
magnetization	0.47	Bohr magnetons per cell
electronic total energy	-0.0884	hartree per atom
uncorrected formation energy	-681.6	meV/atom
DOS at the Fermi energy	11.7	states/eV/cell



4.
The following is a DFT calculation (GGA-PBE) of a geometry-optimized Rb2Cl2F structure.

```
Rb2Cl2F
1.0
-2.657 2.657 10.766
2.657 -2.657 10.766
2.657 2.657 -10.766
Rb Cl F
4 4 2
Direct
0.090 0.340 0.750
0.340 0.090 0.250
0.660 0.910 0.750
0.910 0.660 0.250
0.251 0.501 0.750
0.499 0.749 0.750
0.501 0.251 0.250
0.749 0.499 0.250
0.125 0.875 0.250
0.875 0.125 0.750
```

Results
space-group type	No. 141
magnetization	0.00	Bohr magnetons per cell
electronic total energy	-0.1194	hartree per atom
uncorrected formation energy	-1750.3	meV/atom
energy above the lowest structure with this stoichiometry	0	meV/atom
DOS at the Fermi energy	3.0	states/eV/cell



5.
The following is a DFT calculation (GGA-PBE) of a geometry-optimized RbClF6 structure.

```
RbClF6
1.0
2.784 1.607 5.048
-2.784 1.607 5.048
0.000 -3.215 5.048
Rb Cl F
1 1 6
Direct
0.000 0.000 0.000
0.500 0.500 0.500
0.124 0.584 0.584
0.416 0.416 0.876
0.416 0.876 0.416
0.584 0.124 0.584
0.584 0.584 0.124
0.876 0.416 0.416
```

Results
space-group type	No. 166
magnetization	0.00	Bohr magnetons per cell
electronic total energy	-0.1095	hartree per atom
uncorrected formation energy	-1224.3	meV/atom
DOS at the Fermi energy	0.0	states/eV/cell



6.
The following is a DFT calculation (GGA-PBE) of a geometry-optimized Rb2ReCl5F structure.

```
Rb2ReCl5F
1.0
-3.600 3.600 5.032
3.600 -3.600 5.032
3.600 3.600 -5.032
Rb Re Cl F
2 1 5 1
Direct
0.000 0.500 0.500
0.500 0.000 0.500
0.252 0.252 0.000
0.015 0.015 0.532
0.015 0.482 0.000
0.482 0.015 0.000
0.482 0.482 0.468
0.487 0.487 0.000
0.055 0.055 0.000
```

Results
space-group type	No. 107
magnetization	3.00	Bohr magnetons per cell
electronic total energy	-0.1590	hartree per atom
uncorrected formation energy	-1493.9	meV/atom



Number 1: volume 193.6 Å³/f.u.. Number 2: volume 148.2 Å³/f.u.. Number 3: volume 245.0 Å³/f.u.. Number 4: volume 152.0 Å³/f.u.. Number 5: volume 135.5 Å³/f.u.. Number 6: volume 260.8 Å³/f.u..